No. 1
Density functional theory data (GGA-PBE) for an optimized crystal structure of Ba2ZnOsS6.

POSCAR file:
```
Ba2ZnOsS6
1.0
0.454 -4.675 4.945
-5.799 2.324 2.737
0.155 -1.925 -6.541
Ba Os S Zn
2 1 6 1
Direct
0.750 0.250 0.500 Ba
0.250 0.750 0.500 Ba
0.000 0.000 0.000 Os
0.246 0.246 0.000 S
0.754 0.246 0.000 S
0.246 0.754 0.000 S
0.754 0.754 0.000 S
0.246 0.246 0.491 S
0.754 0.754 0.509 S
0.500 0.500 0.000 Zn
```

Excess energy over the best structure of this formula in the dataset, eV per atom: 0.031
Theoretical density, Mg/m³: 5.4
Total magnetic moment, μB/f.u.: 0.0
Space-group type: No. 225

=====

No. 2
Density functional theory data (GGA-PBE) for an optimized crystal structure of GdDyGe2.

POSCAR file:
```
GdDyGe2
1.0
2.057 -9.308 0.000
2.057 9.308 0.000
0.000 0.000 5.475
Dy Gd Ge
2 2 4
Direct
0.203 0.797 0.250 Dy
0.797 0.203 0.750 Dy
0.422 0.578 0.250 Gd
0.578 0.422 0.750 Gd
0.813 0.187 0.250 Ge
0.043 0.957 0.250 Ge
0.957 0.043 0.750 Ge
0.187 0.813 0.750 Ge
```

Excess energy over the best structure of this formula in the dataset, eV per atom: 0.292
Theoretical density, Mg/m³: 7.4
Total magnetic moment, μB/f.u.: 0.0
Space-group type: No. 63

=====

No. 3
Density functional theory data (GGA-PBE) for an optimized crystal structure of DyNbPb.

POSCAR file:
```
DyNbPb
1.0
-0.860 -4.769 -1.396
0.999 -3.779 3.187
-3.781 -2.598 2.095
Dy Nb Pb
1 1 1
Direct
0.000 0.000 0.000 Dy
0.250 0.250 0.250 Nb
0.750 0.750 0.750 Pb
```

Excess energy over the best structure of this formula in the dataset, eV per atom: 0.426
Theoretical density, Mg/m³: 8.5
Total magnetic moment, μB/f.u.: 3.7
Space-group type: No. 216

=====

No. 4
Density functional theory data (GGA-PBE) for an optimized crystal structure of K3Hg4Pd4.

POSCAR file:
```
K3Hg4Pd4
1.0
-4.227 4.227 4.227
4.227 -4.227 4.227
4.227 4.227 -4.227
Hg K Pd
4 3 4
Direct
0.400 0.000 0.000 Hg
0.000 0.400 0.000 Hg
0.000 0.000 0.400 Hg
0.600 0.600 0.600 Hg
0.500 0.500 0.000 K
0.500 0.000 0.500 K
0.000 0.500 0.500 K
0.767 0.000 0.000 Pd
0.000 0.767 0.000 Pd
0.233 0.233 0.233 Pd
0.000 0.000 0.767 Pd
```

Theoretical density, Mg/m³: 7.4
Space-group type: No. 217

=====

Record-wise total DFT energy (no corrections) values, in eV per atom: -4.89, -5.21, -5.26, -2.57